Entry 1:
A relaxed structure of SbAsN2F. Source: Alexandria via LeMat-Bulk, functional PBE-GGA.

POSCAR file:
```
SbAsN2F
1.0
-3.342 -2.278 0.087
0.437 -0.790 -3.943
2.174 -3.156 0.873
N As Sb F
2 1 1 1
Direct
0.500 0.000 0.000
0.000 0.500 0.000
0.000 0.000 0.000
0.500 0.500 0.500
0.000 0.000 0.500
```

Its density of states at the Fermi level is 0.3847 states/eV/atom. As for the crystal system: tetragonal. The value obtained for the electronic total energy is -4.96 eV/atom. The density is 6.29 g/cm3. The energy relative to the elements, uncorrected comes out at 0.50 eV/atom.



Entry 2:
A relaxed structure of ScAsN2F. Source: Alexandria via LeMat-Bulk, functional PBE-GGA.

POSCAR file:
```
ScAsN2F
1.0
-0.591 0.511 -4.177
0.414 -4.191 -0.571
-3.820 -0.444 0.486
F N As Sc
1 2 1 1
Direct
0.000 0.000 0.500
0.000 0.500 0.000
0.500 0.000 0.000
0.500 0.500 0.500
0.000 0.000 0.000
```

Its density of states at the Fermi level is 0.4836 states/eV/atom. As for the crystal system: tetragonal. The value obtained for the electronic total energy is -6.03 eV/atom. The density is 3.96 g/cm3. The energy relative to the elements, uncorrected comes out at -0.13 eV/atom.



Entry 3:
A relaxed structure of ScAsN2F. Source: Alexandria via LeMat-Bulk, functional PBE-GGA.

POSCAR file:
```
ScAsN2F
1.0
3.927 0.000 0.000
0.000 3.927 0.000
0.000 0.000 3.853
F As N Sc
1 1 2 1
Direct
0.000 0.000 0.500
0.000 0.000 0.000
0.500 0.000 0.000
0.000 0.500 0.000
0.500 0.500 0.500
```

Its density of states at the Fermi level is 0.2213 states/eV/atom. As for the crystal system: tetragonal. The value obtained for the electronic total energy is -6.15 eV/atom. The density is 4.66 g/cm3. The energy relative to the elements, uncorrected comes out at -0.25 eV/atom.



Entry 4:
A relaxed structure of ScAsNF2. Source: Alexandria via LeMat-Bulk, functional PBE-GGA.

POSCAR file:
```
ScAsNF2
1.0
-3.032 -2.959 -0.246
1.910 -1.675 -3.399
2.159 -2.412 2.401
F As Sc N
2 1 1 1
Direct
0.000 0.500 0.000
0.500 0.000 0.000
0.000 0.000 0.000
0.500 0.500 0.500
0.000 0.000 0.500
```

Its density of states at the Fermi level is 0.4732 states/eV/atom. As for the crystal system: tetragonal. The value obtained for the electronic total energy is -5.32 eV/atom. The density is 3.93 g/cm3. The energy relative to the elements, uncorrected comes out at -0.71 eV/atom.



Entry 5:
A relaxed structure of ScAsNF2. Source: Alexandria via LeMat-Bulk, functional PBE-GGA.

POSCAR file:
```
ScAsNF2
1.0
3.938 0.000 0.000
0.000 3.938 0.000
0.000 0.000 4.634
F As N Sc
2 1 1 1
Direct
0.500 0.000 0.000
0.000 0.500 0.000
0.500 0.500 0.500
0.000 0.000 0.500
0.000 0.000 0.000
```

Its density of states at the Fermi level is 0.1138 states/eV/atom. As for the crystal system: tetragonal. The value obtained for the electronic total energy is -6.04 eV/atom. The density is 3.97 g/cm3. The energy relative to the elements, uncorrected comes out at -1.43 eV/atom.



Entry 6:
A relaxed structure of AsSeN2F. Source: Alexandria via LeMat-Bulk, functional PBE-GGA.

POSCAR file:
```
AsSeN2F
1.0
4.052 0.000 0.000
0.000 4.052 0.000
0.000 0.000 4.382
N F Se As
2 1 1 1
Direct
0.500 0.000 0.000
0.000 0.500 0.000
0.000 0.000 0.000
0.000 0.000 0.500
0.500 0.500 0.500
```

Its density of states at the Fermi level is 0.4059 states/eV/atom. As for the crystal system: tetragonal. The value obtained for the electronic total energy is -3.24 eV/atom. The density is 4.64 g/cm3. The energy relative to the elements, uncorrected comes out at 2.09 eV/atom.



Entry 7:
A relaxed structure of AsSeN2F. Source: Alexandria via LeMat-Bulk, functional PBE-GGA.

POSCAR file:
```
AsSeN2F
1.0
3.951 0.000 0.000
0.000 3.951 0.000
0.000 0.000 3.867
N Se As F
2 1 1 1
Direct
0.500 0.000 0.000
0.000 0.500 0.000
0.500 0.500 0.500
0.000 0.000 0.000
0.000 0.000 0.500
```

Its density of states at the Fermi level is 0.4437 states/eV/atom. As for the crystal system: tetragonal. The value obtained for the electronic total energy is -4.42 eV/atom. The density is 5.53 g/cm3. The energy relative to the elements, uncorrected comes out at 0.91 eV/atom.



Entry 8:
A relaxed structure of AsSeNF2. Source: Alexandria via LeMat-Bulk, functional PBE-GGA.

POSCAR file:
```
AsSeNF2
1.0
-1.545 0.000 3.651
-1.514 -3.607 -0.640
3.830 -1.895 1.620
N Se As F
1 1 1 2
Direct
0.000 0.000 0.500
0.500 0.500 0.500
0.000 0.000 0.000
0.000 0.500 0.000
0.500 0.000 0.000
```

Its density of states at the Fermi level is 0.8778 states/eV/atom. As for the crystal system: tetragonal. The value obtained for the electronic total energy is -4.00 eV/atom. The density is 4.76 g/cm3. The energy relative to the elements, uncorrected comes out at 0.04 eV/atom.



Entry 9:
A relaxed structure of AsSeNF2. Source: Alexandria via LeMat-Bulk, functional PBE-GGA.

POSCAR file:
```
AsSeNF2
1.0
4.045 0.000 0.000
0.000 4.102 0.000
0.000 0.000 4.045
Se N F As
1 1 2 1
Direct
0.000 0.500 0.000
0.000 0.000 0.000
0.000 0.000 0.500
0.500 0.000 0.000
0.500 0.500 0.500
```

Its density of states at the Fermi level is 0.3775 states/eV/atom. As for the crystal system: tetragonal. The value obtained for the electronic total energy is -3.58 eV/atom. The density is 5.09 g/cm3. The energy relative to the elements, uncorrected comes out at 0.46 eV/atom.



Entry 10:
A relaxed structure of AsSeNF2. Source: Alexandria via LeMat-Bulk, functional PBE-GGA.

POSCAR file:
```
AsSeNF2
1.0
-4.530 -0.927 -0.255
0.282 -0.108 -4.621
0.724 -3.574 0.128
As F Se N
1 2 1 1
Direct
0.500 0.500 0.500
0.000 0.500 0.000
0.500 0.000 0.000
0.000 0.000 0.000
0.000 0.000 0.500
```

Its density of states at the Fermi level is 0.5778 states/eV/atom. As for the crystal system: tetragonal. The value obtained for the electronic total energy is -3.64 eV/atom. The density is 4.37 g/cm3. The energy relative to the elements, uncorrected comes out at 0.40 eV/atom.



Entry 11:
A relaxed structure of As2SeNF. Source: Alexandria via LeMat-Bulk, functional PBE-GGA.

POSCAR file:
```
As2SeNF
1.0
4.376 0.000 0.000
0.000 4.376 0.000
0.000 0.000 4.284
Se As N F
1 2 1 1
Direct
0.000 0.000 0.500
0.000 0.500 0.000
0.500 0.000 0.000
0.000 0.000 0.000
0.500 0.500 0.500
```

Its density of states at the Fermi level is 0.5968 states/eV/atom. As for the crystal system: tetragonal. The value obtained for the electronic total energy is -4.00 eV/atom. The density is 5.30 g/cm3. The energy relative to the elements, uncorrected comes out at 0.60 eV/atom.



Entry 12:
A relaxed structure of AsSeN2F. Source: Alexandria via LeMat-Bulk, functional PBE-GGA.

POSCAR file:
```
AsSeN2F
1.0
3.598 0.000 0.000
0.000 3.598 0.000
0.000 0.000 5.765
N Se F As
2 1 1 1
Direct
0.500 0.000 0.000
0.000 0.500 0.000
0.000 0.000 0.500
0.500 0.500 0.500
0.000 0.000 0.000
```

Its density of states at the Fermi level is 0.7947 states/eV/atom. As for the crystal system: tetragonal. The value obtained for the electronic total energy is -4.18 eV/atom. The density is 4.47 g/cm3. The energy relative to the elements, uncorrected comes out at 1.15 eV/atom.



Number 1: relative energy among the computed polymorphs 0.000 eV/f.u.. Number 2: relative energy among the computed polymorphs 0.578 eV/f.u.. Number 3: relative energy among the computed polymorphs 0.000 eV/f.u.. Number 4: relative energy among the computed polymorphs 3.588 eV/f.u.. Number 5: relative energy among the computed polymorphs 0.000 eV/f.u.. Number 6: relative energy among the computed polymorphs 5.901 eV/f.u.. Number 7: relative energy among the computed polymorphs 0.000 eV/f.u.. Number 8: relative energy among the computed polymorphs 0.000 eV/f.u.. Number 9: relative energy among the computed polymorphs 2.080 eV/f.u.. Number 10: relative energy among the computed polymorphs 1.772 eV/f.u.. Number 11: relative energy among the computed polymorphs 0.000 eV/f.u.. Number 12: relative energy among the computed polymorphs 1.195 eV/f.u..